# Ba4LiHo3Te8, optimized geometry, DFT PBE
data_Ba4LiHo3Te8
_chemical_formula_sum 'Ba4 Li1 Ho3 Te8'
_cell_length_a 9.388
_cell_length_b 9.388
_cell_length_c 9.388
_cell_angle_alpha 58.78
_cell_angle_beta 58.78
_cell_angle_gamma 58.78
_space_group_name_H-M_alt 'P 1'
_space_group_IT_number 1
_space_group_name_Hall 'P 1'
loop_
_atom_site_label
_atom_site_type_symbol
_atom_site_fract_x
_atom_site_fract_y
_atom_site_fract_z
Ba1 Ba 0.000 0.000 0.000
Ba2 Ba 0.000 0.500 0.500
Ba3 Ba 0.500 0.000 0.500
Ba4 Ba 0.500 0.500 0.000
Li1 Li 0.500 0.500 0.500
Ho1 Ho 0.000 0.000 0.500
Ho2 Ho 0.000 0.500 0.000
Ho3 Ho 0.500 0.000 0.000
Te1 Te 0.236 0.738 0.738
Te2 Te 0.238 0.238 0.238
Te3 Te 0.262 0.262 0.764
Te4 Te 0.262 0.764 0.262
Te5 Te 0.738 0.236 0.738
Te6 Te 0.738 0.738 0.236
Te7 Te 0.762 0.762 0.762
Te8 Te 0.764 0.262 0.262
# Total energy = -4.529 eV per atom
# Space-group type = R-3m

***

# BaLi2HoTl4, optimized geometry, DFT PBE
data_BaLi2HoTl4
_chemical_formula_sum 'Ba1 Li2 Ho1 Tl4'
_cell_length_a 11.276
_cell_length_b 11.276
_cell_length_c 11.276
_cell_angle_alpha 25.20
_cell_angle_beta 25.20
_cell_angle_gamma 25.20
_space_group_name_H-M_alt 'P 1'
_space_group_IT_number 1
_space_group_name_Hall 'P 1'
loop_
_atom_site_label
_atom_site_type_symbol
_atom_site_fract_x
_atom_site_fract_y
_atom_site_fract_z
Ba1 Ba 0.000 0.000 0.000
Li1 Li 0.228 0.228 0.228
Li2 Li 0.772 0.772 0.772
Ho1 Ho 0.500 0.500 0.500
Tl1 Tl 0.122 0.122 0.122
Tl2 Tl 0.401 0.401 0.401
Tl3 Tl 0.599 0.599 0.599
Tl4 Tl 0.878 0.878 0.878
# Total energy = -2.806 eV per atom
# Space-group type = R-3m
# Energy of formation = -0.33 eV per atom